# 1
InSnSe, optimized geometry, DFT GGA-PBE; energy relative to the elements, uncorrected = -0.2749 eV per atom; mass density = 6396 kg/m³; spin magnetization = 0.000 μB/atom; V = 27.043 Å³/atom
1.0
-3.6367 -2.1665 0.6153
7.3838 -14.4237 -7.1446
1.3773 -1.2124 3.8711
In Sn Se
4 4 4
Direct
0.5000 0.8308 0.4295
0.5000 0.1692 0.4295
0.0000 0.6692 0.9295
0.0000 0.3308 0.9295
0.5000 0.0000 0.4368
0.0000 0.5000 0.9368
0.5000 0.5000 0.4362
0.0000 0.0000 0.9362
0.0000 0.1713 0.9336
0.5000 0.6713 0.4336
0.0000 0.8287 0.9336
0.5000 0.3287 0.4336

=====

# 2
InSnSe2, optimized geometry, DFT GGA-PBE; energy relative to the elements, uncorrected = -0.2825 eV per atom; mass density = 5342 kg/m³; spin magnetization = 0.000 μB/atom; V = 30.423 Å³/atom
1.0
7.4518 0.0000 0.0000
0.0000 7.4518 0.0000
3.7259 3.7259 4.3830
Se In Sn
4 2 2
Direct
0.8750 0.8685 0.7500
0.6185 0.1250 0.2500
0.3750 0.3815 0.7500
0.1315 0.6250 0.2500
0.2500 0.7500 0.5000
0.5000 0.5000 0.0000
0.7500 0.2500 0.5000
0.0000 0.0000 0.0000

=====

# 3
In2SnSe3, optimized geometry, DFT GGA-PBE; energy relative to the elements, uncorrected = -0.4010 eV per atom; mass density = 5199 kg/m³; spin magnetization = 0.000 μB/atom; V = 31.153 Å³/atom
1.0
-2.1260 -2.8442 -2.3258
5.5768 -3.5451 -0.7625
1.0680 -9.3316 10.4350
Sn In Se
2 4 6
Direct
0.2500 0.7107 0.3606
0.7500 0.2893 0.6394
0.2500 0.5122 0.8932
0.7500 0.4878 0.1068
0.2500 0.8419 0.6449
0.7500 0.1581 0.3551
0.2500 0.2809 0.7782
0.2500 0.2545 0.0924
0.7500 0.7455 0.9076
0.7500 0.7201 0.5335
0.7500 0.7191 0.2218
0.2500 0.2799 0.4665

=====

# 4
InSnSe3, optimized geometry, DFT GGA-PBE; energy relative to the elements, uncorrected = 0.0515 eV per atom; mass density = 5174 kg/m³; spin magnetization = 0.000 μB/atom; V = 30.195 Å³/atom
1.0
-3.8896 2.4240 -2.7108
-3.5791 -1.8491 3.4819
0.6437 4.3656 2.9800
Se In Sn
3 1 1
Direct
0.0000 0.5000 0.0000
0.0000 0.0000 0.5000
0.5000 0.0000 0.0000
0.5000 0.5000 0.5000
0.0000 0.0000 0.0000

=====

# 5
InSnSe, optimized geometry, DFT GGA-PBE; energy relative to the elements, uncorrected = -0.2402 eV per atom; mass density = 6095 kg/m³; spin magnetization = 0.000 μB/atom; V = 28.378 Å³/atom
1.0
18.4177 0.0000 0.0000
0.0000 6.0167 0.0000
0.0000 0.0000 6.1462
In Sn Se
8 8 8
Direct
0.0822 0.5000 0.9787
0.4178 0.0000 0.9787
0.9178 0.0000 0.4787
0.5822 0.0000 0.9787
0.5822 0.5000 0.4787
0.0822 0.0000 0.4787
0.4178 0.5000 0.4787
0.9178 0.5000 0.9787
0.7456 0.0000 0.3497
0.2456 0.5000 0.3497
0.2544 0.0000 0.3497
0.7544 0.5000 0.3497
0.2544 0.5000 0.8497
0.7544 0.0000 0.8497
0.2456 0.0000 0.8497
0.7456 0.5000 0.8497
0.1034 0.0000 0.9556
0.3966 0.0000 0.4556
0.8966 0.0000 0.9556
0.6034 0.5000 0.9556
0.8966 0.5000 0.4556
0.3966 0.5000 0.9556
0.1034 0.5000 0.4556
0.6034 0.0000 0.4556

=====

# 6
In2SnSe5, optimized geometry, DFT GGA-PBE; energy relative to the elements, uncorrected = -0.3118 eV per atom; mass density = 5065 kg/m³; spin magnetization = 0.000 μB/atom; V = 30.456 Å³/atom
1.0
-0.7644 5.0902 -2.4807
-5.3523 -1.6865 4.7690
6.5088 5.4824 9.2436
Se Sn In
10 2 4
Direct
0.3222 0.6444 0.4252
0.9505 0.9009 0.8826
0.9505 0.9009 0.6174
0.6778 0.3556 0.5748
0.7461 0.4923 0.2500
0.0495 0.0991 0.3826
0.6778 0.3556 0.9252
0.2539 0.5077 0.7500
0.0495 0.0991 0.1174
0.3222 0.6444 0.0748
0.2026 0.4052 0.2500
0.7974 0.5948 0.7500
0.1534 0.3068 0.9399
0.8466 0.6932 0.0601
0.1534 0.3068 0.5601
0.8466 0.6932 0.4399

=====

# 7
In2Sn2Se5, optimized geometry, DFT GGA-PBE; energy relative to the elements, uncorrected = -0.4177 eV per atom; mass density = 4878 kg/m³; spin magnetization = 0.000 μB/atom; V = 32.600 Å³/atom
1.0
-0.1201 1.0117 -4.1038
7.5261 -7.4152 -2.0483
-7.1157 -2.3839 1.7990
Se In Sn
5 2 2
Direct
0.2122 0.8413 0.4244
0.7878 0.1587 0.5756
0.3806 0.5661 0.7611
0.0000 0.0000 0.0000
0.6194 0.4339 0.2389
0.2157 0.6080 0.4314
0.7843 0.3920 0.5686
0.4111 0.0898 0.8221
0.5889 0.9102 0.1779

=====

# 8
In2SnSe, optimized geometry, DFT GGA-PBE; energy relative to the elements, uncorrected = 0.0269 eV per atom; mass density = 6786 kg/m³; spin magnetization = 0.000 μB/atom; V = 26.141 Å³/atom
1.0
0.0000 3.7393 3.7393
3.7393 0.0000 3.7393
3.7393 3.7393 0.0000
In Se Sn
2 1 1
Direct
0.7500 0.7500 0.7500
0.2500 0.2500 0.2500
0.0000 0.0000 0.0000
0.5000 0.5000 0.5000

=====

# 9
InSnSe, optimized geometry, DFT GGA-PBE; energy relative to the elements, uncorrected = -0.2274 eV per atom; mass density = 6188 kg/m³; spin magnetization = 0.000 μB/atom; V = 27.951 Å³/atom
1.0
6.1658 0.0000 -0.0009
0.0000 4.0573 0.0000
-0.0309 0.0000 13.4074
Se Sn In
4 4 4
Direct
0.1210 0.0000 0.8727
0.6295 0.5000 0.7207
0.6295 0.0000 0.2207
0.1210 0.5000 0.3727
0.1243 0.0000 0.5333
0.0887 0.5000 0.7168
0.1243 0.5000 0.0333
0.0887 0.0000 0.2168
0.6232 0.5000 0.0612
0.6232 0.0000 0.5612
0.6121 0.5000 0.3792
0.6121 0.0000 0.8792

=====

# 10
InSnSe2, optimized geometry, DFT GGA-PBE; energy relative to the elements, uncorrected = -0.3928 eV per atom; mass density = 6023 kg/m³; spin magnetization = 0.000 μB/atom; V = 26.983 Å³/atom
1.0
0.7534 3.5745 -2.0464
3.0437 -1.8809 -2.1648
-5.9754 -2.4664 -2.2243
In Sn Se
1 1 2
Direct
0.8615 0.2940 0.7230
0.1204 0.5564 0.2407
0.6337 0.0672 0.2675
0.3487 0.7818 0.6975

=====

# 11
InSnSe, optimized geometry, DFT GGA-PBE; energy relative to the elements, uncorrected = -0.1820 eV per atom; mass density = 6214 kg/m³; spin magnetization = 0.000 μB/atom; V = 27.836 Å³/atom
1.0
3.7612 0.0189 0.8883
1.5935 6.2904 0.5191
1.2626 -0.6934 3.8164
Se In Sn
1 1 1
Direct
0.3052 0.7621 0.7938
0.7916 0.0689 0.5480
0.8045 0.4599 0.0424

=====

# 12
InSnSe, optimized geometry, DFT GGA-PBE; energy relative to the elements, uncorrected = -0.2221 eV per atom; mass density = 6197 kg/m³; spin magnetization = 0.000 μB/atom; V = 27.912 Å³/atom
1.0
-2.0433 4.8827 -3.1353
-1.0158 -2.3879 -3.0567
-12.2257 -1.9522 5.5878
In Se Sn
4 4 4
Direct
0.7785 0.0000 0.3825
0.2993 0.0000 0.0300
0.2993 0.5000 0.5300
0.7785 0.5000 0.8825
0.2911 0.0000 0.3664
0.2911 0.5000 0.8664
0.7898 0.5000 0.2274
0.7898 0.0000 0.7274
0.2436 0.5000 0.2162
0.7965 0.0000 0.0614
0.2436 0.0000 0.7162
0.7965 0.5000 0.5614